! CeNbV2O8, relaxed, DFT PBE with a Hubbard U; values from VASP
&SYSTEM
  ibrav = 0, nat = 12, ntyp = 4
/
ATOMIC_SPECIES
O 16.00 O.upf
V 50.94 V.upf
Nb 92.91 Nb.upf
Ce 140.12 Ce.upf
CELL_PARAMETERS angstrom
5.316 1.693 -2.492
2.360 6.226 -2.325
-3.137 -2.056 6.992
ATOMIC_POSITIONS crystal
O 0.106 0.300 0.345
V 0.407 0.483 0.747
Nb 0.000 0.000 0.000
O 0.587 0.308 0.303
O 0.881 0.189 0.813
O 0.413 0.692 0.697
O 0.543 0.761 0.145
Ce 0.000 0.000 0.500
O 0.894 0.700 0.655
V 0.593 0.517 0.253
O 0.119 0.811 0.187
O 0.457 0.239 0.855
! - DOS(E_F): 4.231 states/eV/f.u.
! - E_tot: -8.27 eV/atom
! - Volume: 12.82 A^3/atom